## Nd2MnS2O2 (PBE+U)

Data for a relaxed Nd2MnS2O2 crystal.

spin magnetization = 10.000 μB per cell
E = -7.37 eV/atom
density = 5.58 g/cm³

a b c (Å): 11.5604 3.8528 6.8692
angles (deg): 90.00 121.24 90.00
Closest atoms and distances in Å follow each position.
Space group C2/m (No. 12)
Unique sites:
Nd: 0.1902 0.0000 0.2324 x4  3 O 2.30-2.37
Mn: 0.0000 0.0000 0.5000 x2  2 O 2.05
S: 0.0640 0.5000 0.8249 x4  2 Mn 2.74, 3 Nd 3.06-3.07
O: 0.1982 0.0000 0.5834 x4  1 Mn 2.05, 2 Nd 2.30